[1]
VASP calculation (PBE) on a geometry-optimized NpSnAu6 structure.

Values from the calculation:
Raw total energy: -4.632 eV per atom
SG: Amm2, No. 38
DOS at the Fermi energy: 13.131 states/eV per cell

a = 4.8905 Å, b = 5.9315 Å, c = 5.9315 Å
α = 106.47°, β = 90.00°, γ = 90.00°
Last column: nearest neighbours and their distance in Å.
Positions (direct):
Np 0.0000 0.1267 0.8733  10 Au 2.94-3.20
Sn 0.5000 0.3886 0.6114  6 Au 2.91-2.99
Au 0.0000 0.0381 0.3593  7 Au 2.82-3.06, 2 Np 2.94-3.07
Au 0.0000 0.6407 0.9619  7 Au 2.82-3.06, 2 Np 2.94-3.07
Au 0.0000 0.5540 0.4460  2 Sn 2.91, 8 Au 2.96-3.06
Au 0.5000 0.4474 0.1273  2 Sn 2.98-2.99, 7 Au 2.98-3.05, 2 Np 3.20
Au 0.5000 0.8727 0.5526  2 Sn 2.98-2.99, 7 Au 2.98-3.05, 2 Np 3.20
Au 0.5000 0.9314 0.0686  8 Au 2.96-2.99, 2 Np 3.07

---

[2]
VASP calculation (PBE) on a geometry-optimized NpSnAu3 structure.

Values from the calculation:
Raw total energy: -5.493 eV per atom
SG: Pmmn, No. 59
DOS at the Fermi energy: 26.257 states/eV per cell

a = 4.9036 Å, b = 6.6927 Å, c = 6.6956 Å
α = 90.00°, β = 90.00°, γ = 90.00°
Last column: nearest neighbours and their distance in Å.
Positions (direct):
Np 0.7500 0.2500 0.2181  6 Au 3.03-3.15, 2 Sn 3.32
Np 0.2500 0.7500 0.7819  6 Au 3.03-3.15, 2 Sn 3.32
Sn 0.7500 0.7500 0.4479  3 Au 2.68-2.80
Sn 0.2500 0.2500 0.5521  3 Au 2.68-2.80
Au 0.7500 0.7500 0.0484  1 Sn 2.68, 2 Au 2.82
Au 0.2500 0.2500 0.9516  1 Sn 2.68, 2 Au 2.82
Au 0.7500 0.0440 0.7461  2 Au 2.76-2.82, 1 Sn 2.80
Au 0.7500 0.4560 0.7461  2 Au 2.76-2.82, 1 Sn 2.80
Au 0.2500 0.9560 0.2539  2 Au 2.76-2.82, 1 Sn 2.80
Au 0.2500 0.5440 0.2539  2 Au 2.76-2.82, 1 Sn 2.80

---

[3]
VASP calculation (PBE) on a geometry-optimized NpSnAu2 structure.

Values from the calculation:
Raw total energy: -5.967 eV per atom
SG: P4/mmm, No. 123
DOS at the Fermi energy: 10.086 states/eV per cell

a = 3.7560 Å, b = 3.7560 Å, c = 6.5570 Å
α = 90.00°, β = 90.00°, γ = 90.00°
Last column: nearest neighbours and their distance in Å.
Positions (direct):
Np 0.5000 0.5000 0.5000  8 Au 3.10, 2 Sn 3.28
Au 0.0000 0.0000 0.7447  4 Np 3.10, 4 Sn 3.14, 2 Au 3.21-3.35
Au 0.0000 0.0000 0.2553  4 Np 3.10, 4 Sn 3.14, 2 Au 3.21-3.35
Sn 0.5000 0.5000 0.0000  8 Au 3.14, 2 Np 3.28

---

[4]
VASP calculation (PBE) on a geometry-optimized NpSn2Au4 structure.

Values from the calculation:
Raw total energy: -4.996 eV per atom
SG: P-1, No. 2
DOS at the Fermi energy: 11.937 states/eV per cell

a = 4.9694 Å, b = 4.9230 Å, c = 8.1920 Å
α = 63.05°, β = 67.69°, γ = 62.18°
Last column: nearest neighbours and their distance in Å.
Positions (direct):
Np 0.0000 0.0000 0.0000  8 Au 3.05-3.21, 4 Sn 3.25-3.40
Sn 0.7767 0.8120 0.7530  7 Au 2.90-3.21
Sn 0.2233 0.1880 0.2470  7 Au 2.90-3.21
Au 0.7538 0.7550 0.4223  4 Au 2.76-3.04, 2 Sn 2.90, 1 Np 3.05
Au 0.2462 0.2450 0.5777  4 Au 2.76-3.04, 2 Sn 2.90, 1 Np 3.05
Au 0.5868 0.5554 0.1893  4 Sn 2.90-3.12, 2 Au 2.99-3.04, 3 Np 3.18-3.21
Au 0.4132 0.4446 0.8107  4 Sn 2.90-3.12, 2 Au 2.99-3.04, 3 Np 3.18-3.21

---

[5]
VASP calculation (PBE) on a geometry-optimized NpSnAu4 structure.

Values from the calculation:
Raw total energy: -5.141 eV per atom
SG: P-1, No. 2
DOS at the Fermi energy: 10.193 states/eV per cell

a = 4.3267 Å, b = 5.0244 Å, c = 7.5776 Å
α = 75.66°, β = 73.58°, γ = 115.76°
Last column: nearest neighbours and their distance in Å.
Positions (direct):
Np 0.5014 0.4973 0.9981  10 Au 3.05-3.17, 2 Sn 3.36
Sn 0.0012 0.9972 0.4981  10 Au 3.02-3.11, 2 Np 3.36
Au 0.6440 0.9809 0.1953  3 Au 2.86-2.89, 3 Np 3.05-3.09, 2 Sn 3.11
Au 0.3586 0.0137 0.8009  3 Au 2.86-2.89, 3 Np 3.05-3.09, 2 Sn 3.11
Au 0.1456 0.4744 0.6874  3 Au 2.86-2.89, 3 Sn 3.02-3.07, 2 Np 3.16-3.17
Au 0.8570 0.5201 0.3089  3 Au 2.86-2.89, 3 Sn 3.02-3.07, 2 Np 3.16-3.17

---

[6]
VASP calculation (PBE) on a geometry-optimized NpSnAu4 structure.

Values from the calculation:
Raw total energy: -5.104 eV per atom
SG: F-43m, No. 216
DOS at the Fermi energy: 11.910 states/eV per cell

a = 5.6546 Å, b = 5.6546 Å, c = 5.6546 Å
α = 60.00°, β = 60.00°, γ = 60.00°
Last column: nearest neighbours and their distance in Å.
Positions (direct):
Np 0.2500 0.2500 0.2500  12 Au 3.31, 4 Sn 3.46
Au 0.6249 0.6249 0.1254  6 Au 2.82-2.83
Au 0.6249 0.1254 0.6249  6 Au 2.82-2.83
Au 0.6249 0.6249 0.6249  6 Au 2.82-2.83
Au 0.1254 0.6249 0.6249  6 Au 2.82-2.83
Sn 0.0000 0.0000 0.0000  12 Au 3.32, 4 Np 3.46

---

[7]
VASP calculation (PBE) on a geometry-optimized NpSnAu6 structure.

Values from the calculation:
Raw total energy: -4.694 eV per atom
SG: P-1, No. 2
DOS at the Fermi energy: 11.420 states/eV per cell

a = 5.1017 Å, b = 4.9164 Å, c = 7.6729 Å
α = 89.89°, β = 82.42°, γ = 61.25°
Last column: nearest neighbours and their distance in Å.
Positions (direct):
Np 0.0000 0.5000 0.5000  14 Au 3.12-3.43
Sn 0.0000 0.0000 0.0000  8 Au 2.82-2.96
Au 0.3050 0.8470 0.6509  5 Au 2.78-3.04, 1 Sn 2.82
Au 0.6188 0.1902 0.7156  7 Au 2.78-3.04, 1 Sn 2.96
Au 0.2865 0.3571 0.0829  3 Sn 2.89-3.16, 5 Au 2.94-3.03
Au 0.3812 0.8098 0.2844  7 Au 2.78-3.04, 1 Sn 2.96
Au 0.6950 0.1530 0.3491  5 Au 2.78-3.04, 1 Sn 2.82
Au 0.7135 0.6429 0.9171  3 Sn 2.89-3.16, 5 Au 2.94-3.03

---

[8]
VASP calculation (PBE) on a geometry-optimized NpSn3Au6 structure.

Values from the calculation:
Raw total energy: -4.490 eV per atom
SG: R3m, No. 160
DOS at the Fermi energy: 14.316 states/eV per cell

a = 5.3773 Å, b = 7.2911 Å, c = 7.2911 Å
α = 114.16°, β = 104.23°, γ = 104.23°
Last column: nearest neighbours and their distance in Å.
Positions (direct):
Np 0.3236 0.0000 0.0000  6 Au 2.91-2.98
Sn 0.2169 0.5164 0.0000  3 Au 2.82-3.15
Sn 0.2169 0.0000 0.5164  3 Au 2.82-3.15
Sn 0.7004 0.4836 0.4836  3 Au 2.82-3.15
Au 0.7863 0.0000 0.7643  5 Au 2.72-2.93, 1 Np 2.98
Au 0.7863 0.7643 0.0000  5 Au 2.72-2.93, 1 Np 2.98
Au 0.6625 0.0000 0.3789  3 Au 2.72-2.93, 2 Sn 2.82-2.90, 1 Np 2.91
Au 0.6625 0.3789 0.0000  3 Au 2.72-2.93, 2 Sn 2.82-2.90, 1 Np 2.91
Au 0.2836 0.6211 0.6211  3 Au 2.72-2.93, 2 Sn 2.82-2.90, 1 Np 2.91
Au 0.0220 0.2357 0.2357  5 Au 2.72-2.93, 1 Np 2.98

---

[9]
VASP calculation (PBE) on a geometry-optimized Np2SnAu6 structure.

Values from the calculation:
Raw total energy: -5.666 eV per atom
SG: C2/m, No. 12
DOS at the Fermi energy: 16.133 states/eV per cell

a = 5.7847 Å, b = 5.7645 Å, c = 5.7681 Å
α = 94.78°, β = 94.72°, γ = 94.78°
Last column: nearest neighbours and their distance in Å.
Positions (direct):
Np 0.6558 0.6569 0.6568  1 Np 2.86, 1 Sn 3.14, 6 Au 3.17-3.18
Np 0.3442 0.3431 0.3432  1 Np 2.86, 1 Sn 3.14, 6 Au 3.17-3.18
Sn 0.0000 0.0000 0.0000  2 Np 3.14, 12 Au 3.21-3.22
Au 0.1660 0.4996 0.8335  5 Au 2.83-3.05
Au 0.8340 0.1664 0.5004  5 Au 2.83-3.05
Au 0.8340 0.5004 0.1665  5 Au 2.83-3.05
Au 0.5000 0.1663 0.8337  5 Au 2.82-3.05
Au 0.1660 0.8336 0.4996  5 Au 2.83-3.05
Au 0.5000 0.8337 0.1663  5 Au 2.82-3.05

---

[10]
VASP calculation (PBE) on a geometry-optimized NpSnAu2 structure.

Values from the calculation:
Raw total energy: -6.090 eV per atom
SG: Fm-3m, No. 225
DOS at the Fermi energy: 11.174 states/eV per cell

a = 5.0135 Å, b = 5.0135 Å, c = 5.0135 Å
α = 60.00°, β = 60.00°, γ = 60.00°
Last column: nearest neighbours and their distance in Å.
Positions (direct):
Np 0.0000 0.0000 0.0000  8 Au 3.07
Au 0.2500 0.2500 0.2500  4 Sn 3.07, 4 Np 3.07
Au 0.7500 0.7500 0.7500  4 Sn 3.07, 4 Np 3.07
Sn 0.5000 0.5000 0.5000  8 Au 3.07

---

[11]
VASP calculation (PBE) on a geometry-optimized NpZnSnAu structure.

Values from the calculation:
Raw total energy: -5.462 eV per atom
SG: F-43m, No. 216
DOS at the Fermi energy: 8.691 states/eV per cell

a = 4.9618 Å, b = 4.9618 Å, c = 4.9618 Å
α = 60.00°, β = 60.00°, γ = 60.00°
Last column: nearest neighbours and their distance in Å.
Positions (direct):
Np 0.7500 0.7500 0.7500  4 Zn 3.04, 4 Au 3.04
Zn 0.5000 0.5000 0.5000  4 Np 3.04, 4 Sn 3.04
Au 0.0000 0.0000 0.0000  4 Sn 3.04, 4 Np 3.04
Sn 0.2500 0.2500 0.2500  4 Zn 3.04, 4 Au 3.04

---

[12]
VASP calculation (PBE) on a geometry-optimized SrNpAu4 structure.

Values from the calculation:
Raw total energy: -4.809 eV per atom
SG: F-43m, No. 216
DOS at the Fermi energy: 19.826 states/eV per cell

a = 5.7653 Å, b = 5.7653 Å, c = 5.7653 Å
α = 60.00°, β = 60.00°, γ = 60.00°
Last column: nearest neighbours and their distance in Å.
Positions (direct):
Np 0.2500 0.2500 0.2500  12 Au 3.38, 4 Sr 3.53
Sr 0.0000 0.0000 0.0000  12 Au 3.38, 4 Np 3.53
Au 0.6249 0.6249 0.1253  6 Au 2.88
Au 0.6249 0.1253 0.6249  6 Au 2.88
Au 0.6249 0.6249 0.6249  6 Au 2.88
Au 0.1253 0.6249 0.6249  6 Au 2.88